Record 1
{
  "formula": "LaRhCl2",
  "functional": "SCAN",
  "state": "single point on PBEsol structure",
  "lattice_angstrom": [[-3.730, -2.896, 0.572], [-0.655, -2.245, 4.142], [-3.585, 1.274, 2.855]],
  "species": ["Rh", "Cl", "Cl", "La"],
  "fractional_positions": [[0.500, 0.500, 0.500], [0.250, 0.250, 0.250], [0.750, 0.750, 0.750], [0.000, 0.000, 0.000]],
  "total_energy_ev_per_atom": -24.25,
  "mass_density_g_cm3": 6.8
}

=====

Record 2
{
  "formula": "La4RhCl",
  "functional": "SCAN",
  "state": "single point on PBEsol structure",
  "lattice_angstrom": [[-0.428, 3.107, 5.234], [-3.720, -1.966, 4.419], [2.329, -2.336, 5.134]],
  "species": ["La", "La", "La", "La", "Cl", "Rh"],
  "fractional_positions": [[0.375, 0.876, 0.375], [0.375, 0.375, 0.375], [0.375, 0.375, 0.876], [0.876, 0.375, 0.375], [0.000, 0.000, 0.000], [0.750, 0.750, 0.750]],
  "total_energy_ev_per_atom": -35.45,
  "mass_density_g_cm3": 7.2
}

=====

Record 3
{
  "formula": "LaRhCl",
  "functional": "SCAN",
  "state": "single point on PBEsol structure",
  "lattice_angstrom": [[-4.456, -0.950, -1.064], [-1.517, -4.426, 0.018], [-2.943, -1.450, 3.335]],
  "species": ["La", "Rh", "Cl"],
  "fractional_positions": [[0.750, 0.750, 0.750], [0.000, 0.000, 0.000], [0.500, 0.500, 0.500]],
  "total_energy_ev_per_atom": -28.98,
  "mass_density_g_cm3": 6.4
}

=====

Record 4
{
  "formula": "LaRhCl2",
  "functional": "SCAN",
  "state": "single point on PBEsol structure",
  "lattice_angstrom": [[-3.274, -1.329, -1.112], [2.313, -4.486, -1.448], [0.653, -1.077, 5.533]],
  "species": ["La", "Cl", "Cl", "Rh"],
  "fractional_positions": [[0.478, 0.574, 0.957], [0.198, 0.552, 0.395], [0.978, 0.018, 0.956], [0.846, 0.357, 0.692]],
  "total_energy_ev_per_atom": -24.64,
  "mass_density_g_cm3": 5.0
}

=====

Record 5
{
  "formula": "LaRh2Cl",
  "functional": "SCAN",
  "state": "single point on PBEsol structure",
  "lattice_angstrom": [[-0.416, -2.229, 2.777], [2.692, -2.027, -1.224], [3.674, 3.063, 3.009]],
  "species": ["La", "Rh", "Rh", "Cl"],
  "fractional_positions": [[0.500, 0.500, 0.500], [0.000, 0.000, 0.251], [0.000, 0.000, 0.749], [0.500, 0.500, 0.000]],
  "total_energy_ev_per_atom": -29.89,
  "mass_density_g_cm3": 8.7
}

=====

Record 6
{
  "formula": "LaRhCl3",
  "functional": "SCAN",
  "state": "single point on PBEsol structure",
  "lattice_angstrom": [[-0.402, -5.134, -1.767], [2.212, -1.773, 4.649], [-4.959, -0.374, 2.217]],
  "species": ["Rh", "Cl", "Cl", "Cl", "La"],
  "fractional_positions": [[0.500, 0.500, 0.500], [0.500, 0.000, 0.000], [0.000, 0.000, 0.500], [0.000, 0.500, 0.000], [0.000, 0.000, 0.000]],
  "total_energy_ev_per_atom": -21.21,
  "mass_density_g_cm3": 3.6
}

=====

Record 7
{
  "formula": "LaRu2Cl",
  "functional": "SCAN",
  "state": "single point on PBEsol structure",
  "lattice_angstrom": [[3.245, 0.003, 0.000], [-0.036, 4.399, 0.000], [0.000, 0.000, 5.284]],
  "species": ["Ru", "Ru", "Cl", "La"],
  "fractional_positions": [[0.155, 0.250, 0.000], [0.845, 0.750, 0.000], [0.000, 0.000, 0.500], [0.500, 0.500, 0.500]],
  "total_energy_ev_per_atom": -30.19,
  "mass_density_g_cm3": 8.3
}

=====

Record 8
{
  "formula": "LaRuCl2",
  "functional": "SCAN",
  "state": "single point on PBEsol structure",
  "lattice_angstrom": [[4.114, 0.000, 0.000], [0.000, 4.482, -0.014], [0.000, -0.670, 4.432]],
  "species": ["La", "Cl", "Cl", "Ru"],
  "fractional_positions": [[0.500, 0.500, 0.500], [0.000, 0.212, 0.788], [0.000, 0.788, 0.212], [0.500, 0.000, 0.000]],
  "total_energy_ev_per_atom": -24.41,
  "mass_density_g_cm3": 6.3
}